1.
{
  "formula": "TmTlNi",
  "functional": "PBE-GGA",
  "state": "optimized geometry",
  "cell": [[3.649, 0.000, 0.000], [0.000, 7.655, 0.000], [0.000, 0.000, 13.196]],
  "species": ["Tl", "Ni", "Tm", "Tl", "Tm", "Ni", "Ni", "Tl", "Tl", "Tm", "Tm", "Ni", "Tm", "Tl", "Tl", "Ni", "Ni", "Tm"],
  "fractional_positions": [[0.500, 0.425, 0.116], [0.500, 0.059, 0.089], [0.000, 0.154, 0.250], [0.500, 0.575, 0.616], [0.000, 0.846, 0.750], [0.000, 0.446, 0.750], [0.500, 0.941, 0.911], [0.500, 0.817, 0.250], [0.500, 0.425, 0.384], [0.000, 0.786, 0.453], [0.000, 0.786, 0.047], [0.000, 0.554, 0.250], [0.000, 0.214, 0.547], [0.500, 0.575, 0.884], [0.500, 0.183, 0.750], [0.500, 0.941, 0.589], [0.500, 0.059, 0.411], [0.000, 0.214, 0.953]],
  "dft_energy_ev_per_atom": -4.564,
  "volume_a3_per_cell": 368.6,
  "spacegroup": "Pmma, No. 51",
  "mass_density_g_cm3": 11.68
}

=====

2.
{
  "formula": "Sr3Rh2Pb3",
  "functional": "PBE-GGA",
  "state": "optimized geometry",
  "cell": [[4.799, 0.000, 0.000], [-2.400, 5.760, 0.000], [0.000, 0.000, 16.547]],
  "species": ["Rh", "Pb", "Sr", "Sr", "Pb", "Rh", "Pb", "Sr", "Sr", "Pb", "Rh", "Rh", "Sr", "Sr", "Pb", "Pb"],
  "fractional_positions": [[0.218, 0.437, 0.394], [0.354, 0.707, 0.539], [0.645, 0.291, 0.250], [0.934, 0.868, 0.390], [0.348, 0.696, 0.250], [0.782, 0.563, 0.606], [0.652, 0.304, 0.750], [0.066, 0.132, 0.890], [0.066, 0.132, 0.610], [0.354, 0.707, 0.961], [0.782, 0.563, 0.894], [0.218, 0.437, 0.106], [0.934, 0.868, 0.110], [0.355, 0.709, 0.750], [0.646, 0.293, 0.039], [0.646, 0.293, 0.461]],
  "dft_energy_ev_per_atom": -4.305,
  "volume_a3_per_cell": 457.4,
  "spacegroup": "Cmcm, No. 63",
  "mass_density_g_cm3": 7.92
}

=====

3.
{
  "formula": "KNa2TlHg4",
  "functional": "PBE-GGA",
  "state": "optimized geometry",
  "cell": [[-2.140, 2.758, -4.080], [-4.726, -1.495, -2.066], [-6.776, 6.074, 4.127]],
  "species": ["Hg", "Hg", "Tl", "Hg", "K", "Hg", "Na", "Na"],
  "fractional_positions": [[0.616, 0.616, 0.153], [0.384, 0.384, 0.847], [0.500, 0.500, 0.500], [0.877, 0.877, 0.368], [0.000, 0.000, 0.000], [0.123, 0.123, 0.632], [0.761, 0.761, 0.718], [0.239, 0.239, 0.282]],
  "dft_energy_ev_per_atom": -1.100,
  "volume_a3_per_cell": 237.2,
  "spacegroup": "R-3m, No. 166",
  "mass_density_g_cm3": 7.64
}

=====

4.
{
  "formula": "NaDyMg14",
  "functional": "PBE-GGA",
  "state": "optimized geometry",
  "cell": [[-6.088, 0.216, 2.594], [2.453, -1.733, 5.900], [1.165, 8.541, 2.025]],
  "species": ["Mg", "Mg", "Dy", "Mg", "Mg", "Mg", "Mg", "Na", "Mg", "Mg", "Mg", "Mg", "Mg", "Mg", "Mg", "Mg"],
  "fractional_positions": [[0.626, 0.626, 0.240], [0.124, 0.124, 0.240], [0.875, 0.875, 0.500], [0.124, 0.626, 0.760], [0.124, 0.124, 0.760], [0.626, 0.124, 0.760], [0.875, 0.875, 0.000], [0.375, 0.375, 0.500], [0.875, 0.375, 0.000], [0.375, 0.375, 0.000], [0.375, 0.875, 0.000], [0.124, 0.626, 0.240], [0.626, 0.626, 0.760], [0.375, 0.875, 0.500], [0.875, 0.375, 0.500], [0.626, 0.124, 0.240]],
  "dft_energy_ev_per_atom": -1.753,
  "volume_a3_per_cell": 388.2,
  "spacegroup": "P4/mmm, No. 123",
  "mass_density_g_cm3": 2.25
}